Entry 1:
VASP calculation (PBE) on a relaxed SrAlGa3 crystal.

Values from the calculation:
Its volume is 25.45 Å³ per atom. Its excess energy over the best structure of this formula in the dataset is 341 meV per atom. For the raw total energy, the calculation gives -2.935 eV per atom. Its crystal system is cubic. For the density of states at the Fermi level, the calculation gives 3.41 states/eV/f.u. The value obtained for the magnetic moment is 0.00 μB/cell. The value obtained for the formation energy is -0.034 eV/atom.

Lattice parameters (Å, degrees): 5.0299 5.0299 5.0299 90.00 90.00 90.00
Fractional coordinates of all 5 atoms:
Ga1 0.0000 0.5000 0.0000
Al1 0.0000 0.0000 0.0000
Sr1 0.5000 0.5000 0.5000
Ga2 0.0000 0.0000 0.5000
Ga3 0.5000 0.0000 0.0000


Entry 2:
VASP calculation (PBE) on a relaxed Sr2TbAl3Ga12 crystal.

Values from the calculation:
Its volume is 22.83 Å³ per atom. For the raw total energy, the calculation gives -3.184 eV per atom. Its crystal system is trigonal. For the density of states at the Fermi level, the calculation gives 7.67 states/eV/f.u. The value obtained for the magnetic moment is 0.00 μB/cell. The value obtained for the formation energy is -0.098 eV/atom.

Lattice parameters (Å, degrees): 10.8087 10.8087 10.8087 37.06 37.06 37.06
Fractional coordinates of all 18 atoms:
Ga1 0.5890 0.5890 0.1904
Ga2 0.8744 0.8744 0.4524
Sr1 0.3614 0.3614 0.3614
Tb1 0.0000 0.0000 0.0000
Al1 0.0000 0.0000 0.5000
Ga3 0.8744 0.4524 0.8744
Ga4 0.1256 0.5476 0.1256
Ga5 0.1256 0.1256 0.5476
Ga6 0.4110 0.8096 0.4110
Al2 0.5000 0.0000 0.0000
Ga7 0.5890 0.1904 0.5890
Ga8 0.4110 0.4110 0.8096
Ga9 0.4524 0.8744 0.8744
Ga10 0.1904 0.5890 0.5890
Al3 0.0000 0.5000 0.0000
Ga11 0.5476 0.1256 0.1256
Sr2 0.6386 0.6386 0.6386
Ga12 0.8096 0.4110 0.4110


Entry 3:
VASP calculation (PBE) on a relaxed Sr2AlGaTe5 crystal.

Values from the calculation:
Its volume is 32.62 Å³ per atom. For the raw total energy, the calculation gives -3.805 eV per atom. Its crystal system is orthorhombic. The value obtained for the uncorrected formation energy is -933.5 meV per atom. The value obtained for the magnetic moment is 0.00 μB/cell.

Lattice parameters (Å, degrees): 4.2309 10.5765 13.3928 90.00 90.00 101.54
Fractional coordinates of all 18 atoms:
Te1 0.6892 0.3784 0.8860
Te2 0.0414 0.0828 0.0640
Sr1 0.1142 0.2284 0.6762
Te3 0.4939 0.9879 0.2785
Ga1 0.4339 0.8678 0.4504
Ga2 0.5661 0.1322 0.9504
Te4 0.5061 0.0121 0.7785
Sr2 0.8858 0.7716 0.1762
Te5 0.9586 0.9172 0.5640
Te6 0.3548 0.7097 0.9888
Te7 0.7206 0.4412 0.1628
Al1 0.7709 0.5418 0.5219
Sr3 0.1200 0.2400 0.2954
Te8 0.3108 0.6216 0.3860
Te9 0.6452 0.2903 0.4888
Te10 0.2794 0.5588 0.6628
Sr4 0.8800 0.7600 0.7954
Al2 0.2291 0.4582 0.0219


Entry 4:
VASP calculation (PBE) on a relaxed SrTmAl2Ga2 crystal.

Values from the calculation:
Its volume is 23.30 Å³ per atom. For the raw total energy, the calculation gives -3.727 eV per atom. Its crystal system is trigonal. For the density of states at the Fermi level, the calculation gives 1.56 states/eV/f.u. The value obtained for the magnetic moment is 0.00 μB/cell. The value obtained for the formation energy is -0.445 eV/atom.

Lattice parameters (Å, degrees): 4.4122 4.4122 8.2917 90.00 90.00 120.00
Fractional coordinates of all 6 atoms:
Tm1 0.0000 0.0000 0.5000
Ga1 0.6667 0.3333 0.7130
Al1 0.6667 0.3333 0.2823
Sr1 0.0000 0.0000 0.0000
Ga2 0.3333 0.6667 0.2870
Al2 0.3333 0.6667 0.7177